Compound: VMoI2O
Source: Alexandria via LeMat-Bulk
Functional: GGA+U
Structure: optimized geometry

Geometry as CIF:
```
data_VMoI2O
_chemical_formula_sum 'V1 Mo1 I2 O1'
_space_group_name_H-M_alt 'P 4/m m m'
_space_group_IT_number 123
_space_group_name_Hall '-P 4 2'
_cell_length_a 5.8106
_cell_length_b 5.8106
_cell_length_c 3.7444
_cell_angle_alpha 90.00
_cell_angle_beta 90.00
_cell_angle_gamma 90.00
loop_
_atom_site_label
_atom_site_type_symbol
_atom_site_fract_x
_atom_site_fract_y
_atom_site_fract_z
_atom_site_occupancy
V1 V 0.0000 0.0000 0.0000 1
Mo1 Mo 0.5000 0.5000 0.5000 1
I1 I 0.0000 0.5000 0.0000 1
O1 O 0.0000 0.0000 0.5000 1
```

Properties
E above lowest polymorph = 0.0000 eV per atom
M_tot = 7.00 μB/f.u.
E_tot = -4.730 eV per atom